## 1
Material: DyErCd
Method: DFT, GGA-PBE
State: optimized geometry

POSCAR file:
```
DyErCd
1.0
-1.580 4.617 -1.869
-5.037 1.357 0.306
-0.981 5.061 6.026
Cd Dy Er
2 2 2
Direct
0.566 0.566 0.302 Cd
0.434 0.434 0.698 Cd
0.126 0.126 0.621 Dy
0.874 0.874 0.379 Dy
0.292 0.292 0.124 Er
0.708 0.708 0.876 Er
```

Properties
- DOS(E_F): 5.74 states/eV/cell

=====

## 2
Material: DyErCd
Method: DFT, GGA-PBE
State: optimized geometry

POSCAR file:
```
DyErCd
1.0
5.114 0.000 0.000
2.557 4.428 0.285
2.557 1.218 4.267
Er Cd Dy
1 1 1
Direct
0.750 0.750 0.750 Er
0.000 0.000 0.000 Cd
0.250 0.250 0.250 Dy
```

Properties
- DOS(E_F): 4.19 states/eV/cell

=====

Most stable to least stable, the ends of the list are 1 and 2.